VASP calculation (PBE) on a geometry-optimized Li2Ac3Rh7 structure.

Lattice parameters (Å, degrees): 9.234 9.234 9.234 34.67 34.67 34.67
Fractional positions:
Li 0.164 0.164 0.164
Li 0.836 0.836 0.836
Ac 0.360 0.360 0.360
Ac 0.500 0.500 0.500
Ac 0.640 0.640 0.640
Rh 0.000 0.000 0.000
Rh 0.083 0.083 0.578
Rh 0.083 0.578 0.083
Rh 0.422 0.917 0.917
Rh 0.578 0.083 0.083
Rh 0.917 0.422 0.917
Rh 0.917 0.917 0.422

Output
The value obtained for the spin magnetization is 0.000 μB per cell. The total energy is -6.10 eV/atom. The calculation puts the formation energy at -461 meV per atom. The calculation puts the density of states at the Fermi level at 9.48 states/eV/f.u.

VASP calculation (PBE) on a geometry-optimized SrIn3F structure.

Lattice parameters (Å, degrees): 5.164 5.164 5.164 90.00 90.00 90.00
Fractional positions:
Sr 0.000 0.000 0.000
In 0.000 0.500 0.500
In 0.500 0.000 0.500
In 0.500 0.500 0.000
F 0.500 0.500 0.500

Output
The relative energy among the computed polymorphs comes out at 0.0 kJ/mol of atoms. The value obtained for the spin magnetization is 0.000 μB per cell. The value obtained for the energy relative to the elements, uncorrected is -0.7306 eV per atom. The total energy is -3.08 eV/atom. The calculation puts the density of states at the Fermi level at 3.30 states/eV/f.u.

VASP calculation (PBE) on a geometry-optimized BaHg2Ir structure.

Lattice parameters (Å, degrees): 5.205 5.965 8.019 90.00 90.00 90.00
Fractional positions:
Ba 0.000 0.000 0.000
Ba 0.500 0.500 0.500
Hg 0.000 0.000 0.439
Hg 0.000 0.500 0.219
Hg 0.500 0.000 0.719
Hg 0.500 0.500 0.939
Ir 0.000 0.500 0.876
Ir 0.500 0.000 0.376

Output
The value obtained for the spin magnetization is 0.000 μB per cell. The total energy is -2.77 eV/atom. The calculation puts the formation energy at 79 meV per atom. The calculation puts the density of states at the Fermi level at 1.97 states/eV/f.u.

VASP calculation (PBE) on a geometry-optimized TbAl8Cr4 structure.

Lattice parameters (Å, degrees): 6.796 6.796 6.796 97.94 97.94 136.35
Fractional positions:
Tb 0.000 0.000 0.000
Al 0.000 0.337 0.337
Al 0.000 0.663 0.663
Al 0.277 0.500 0.777
Al 0.337 0.000 0.337
Al 0.500 0.277 0.777
Al 0.500 0.723 0.223
Al 0.663 0.000 0.663
Al 0.723 0.500 0.223
Cr 0.000 0.000 0.500
Cr 0.000 0.500 0.000
Cr 0.500 0.000 0.000
Cr 0.500 0.500 0.500

Output
The value obtained for the spin magnetization is 2.404 μB per cell. The total energy is -5.84 eV/atom. The calculation puts the formation energy at -222 meV per atom. The calculation puts the density of states at the Fermi level at 9.71 states/eV/f.u.

VASP calculation (PBE) on a geometry-optimized AlAsSe2 structure.

Lattice parameters (Å, degrees): 6.924 6.924 7.623 90.00 90.00 90.00
Fractional positions:
Al 0.000 0.000 0.000
Al 0.000 0.500 0.250
Al 0.500 0.000 0.750
Al 0.500 0.500 0.500
As 0.000 0.000 0.500
As 0.000 0.500 0.750
As 0.500 0.000 0.250
As 0.500 0.500 0.000
Se 0.221 0.250 0.125
Se 0.250 0.721 0.375
Se 0.250 0.779 0.875
Se 0.279 0.250 0.625
Se 0.721 0.750 0.625
Se 0.750 0.221 0.875
Se 0.750 0.279 0.375
Se 0.779 0.750 0.125

Output
The relative energy among the computed polymorphs comes out at 20.7 kJ/mol of atoms. The value obtained for the spin magnetization is 0.000 μB per cell. The value obtained for the energy relative to the elements, uncorrected is -0.0962 eV per atom. The total energy is -3.94 eV/atom. The calculation puts the density of states at the Fermi level at 1.00 states/eV/f.u.

VASP calculation (PBE) on a geometry-optimized Pm4Se3S2 structure.

Lattice parameters (Å, degrees): 8.207 8.207 7.556 95.61 95.61 76.49
Fractional positions:
Pm 0.066 0.735 0.968
Pm 0.265 0.934 0.532
Pm 0.274 0.443 0.545
Pm 0.443 0.274 0.045
Pm 0.557 0.726 0.955
Pm 0.726 0.557 0.455
Pm 0.735 0.066 0.468
Pm 0.934 0.265 0.032
Se 0.001 0.755 0.569
Se 0.245 0.999 0.931
Se 0.374 0.626 0.250
Se 0.626 0.374 0.750
Se 0.755 0.001 0.069
Se 0.999 0.245 0.431
S 0.146 0.404 0.852
S 0.404 0.146 0.352
S 0.596 0.854 0.648
S 0.854 0.596 0.148

Output
The relative energy among the computed polymorphs comes out at 2.8 kJ/mol of atoms. The value obtained for the spin magnetization is 0.000 μB per cell. The value obtained for the energy relative to the elements, uncorrected is -1.8025 eV per atom. The total energy is -5.99 eV/atom. The calculation puts the density of states at the Fermi level at 4.51 states/eV/f.u.

VASP calculation (PBE) on a geometry-optimized TlZnSbSe3 structure.

Lattice parameters (Å, degrees): 9.180 4.134 9.676 90.00 103.79 90.00
Fractional positions:
Tl 0.185 0.250 0.224
Tl 0.815 0.750 0.776
Zn 0.085 0.250 0.602
Zn 0.915 0.750 0.398
Sb 0.338 0.750 0.866
Sb 0.662 0.250 0.134
Se 0.123 0.250 0.867
Se 0.196 0.750 0.517
Se 0.433 0.750 0.149
Se 0.567 0.250 0.851
Se 0.804 0.250 0.483
Se 0.877 0.750 0.133

Output
The value obtained for the spin magnetization is 0.000 μB per cell. The value obtained for the energy relative to the elements, uncorrected is -0.4453 eV per atom. The total energy is -3.48 eV/atom.

VASP calculation (PBE) on a geometry-optimized DyHo2Pd8 structure.

Lattice parameters (Å, degrees): 7.697 7.697 6.755 107.72 107.72 31.65
Fractional positions:
Dy 0.000 0.000 0.000
Ho 0.282 0.282 0.334
Ho 0.718 0.718 0.666
Pd 0.092 0.092 0.451
Pd 0.177 0.177 0.907
Pd 0.358 0.358 0.819
Pd 0.462 0.462 0.282
Pd 0.538 0.538 0.718
Pd 0.642 0.642 0.181
Pd 0.823 0.823 0.093
Pd 0.908 0.908 0.549

Output
The value obtained for the spin magnetization is 0.000 μB per cell. The total energy is -5.80 eV/atom. The calculation puts the formation energy at -775 meV per atom. The calculation puts the density of states at the Fermi level at 4.97 states/eV/f.u.

VASP calculation (PBE) on a geometry-optimized NdY2Pa structure.

Lattice parameters (Å, degrees): 3.363 3.363 37.274 90.00 90.00 120.00
Fractional positions:
Nd 0.000 0.000 0.000
Nd 0.333 0.667 0.667
Nd 0.667 0.333 0.333
Y 0.000 0.000 0.414
Y 0.000 0.000 0.586
Y 0.333 0.667 0.080
Y 0.333 0.667 0.253
Y 0.667 0.333 0.747
Y 0.667 0.333 0.920
Pa 0.000 0.000 0.500
Pa 0.333 0.667 0.167
Pa 0.667 0.333 0.833

Output
The value obtained for the spin magnetization is 0.000 μB per cell. The total energy is -6.48 eV/atom. The calculation puts the formation energy at 321 meV per atom. The calculation puts the density of states at the Fermi level at 5.35 states/eV/f.u.

VASP calculation (PBE) on a geometry-optimized LiYSi2S6 structure.

Lattice parameters (Å, degrees): 8.458 8.458 6.323 99.95 99.95 86.75
Fractional positions:
Li 0.205 0.795 0.750
Li 0.795 0.205 0.250
Y 0.383 0.617 0.250
Y 0.617 0.383 0.750
Si 0.122 0.283 0.773
Si 0.283 0.122 0.273
Si 0.717 0.878 0.727
Si 0.878 0.717 0.227
S 0.073 0.209 0.068
S 0.098 0.635 0.385
S 0.209 0.073 0.568
S 0.297 0.467 0.832
S 0.365 0.902 0.115
S 0.467 0.297 0.332
S 0.533 0.703 0.668
S 0.635 0.098 0.885
S 0.703 0.533 0.168
S 0.791 0.927 0.432
S 0.902 0.365 0.615
S 0.927 0.791 0.932

Output
The value obtained for the spin magnetization is 0.000 μB per cell. The value obtained for the energy relative to the elements, uncorrected is -1.0649 eV per atom. The total energy is -5.46 eV/atom. The calculation puts the density of states at the Fermi level at 0.00 states/eV/f.u.

VASP calculation (PBE) on a geometry-optimized Na3Sm3SnS8 structure.

Lattice parameters (Å, degrees): 8.201 8.201 8.201 58.68 58.68 58.68
Fractional positions:
Na 0.000 0.500 0.500
Na 0.500 0.000 0.500
Na 0.500 0.500 0.000
Sm 0.000 0.000 0.500
Sm 0.000 0.500 0.000
Sm 0.500 0.000 0.000
Sn 0.500 0.500 0.500
S 0.243 0.243 0.243
S 0.263 0.729 0.729
S 0.271 0.271 0.737
S 0.271 0.737 0.271
S 0.729 0.263 0.729
S 0.729 0.729 0.263
S 0.737 0.271 0.271
S 0.757 0.757 0.757

Output
The value obtained for the spin magnetization is 0.000 μB per cell. The value obtained for the energy relative to the elements, uncorrected is -1.5044 eV per atom. The total energy is -5.18 eV/atom.

VASP calculation (PBE) on a geometry-optimized CrTeRhN2 structure.

Lattice parameters (Å, degrees): 3.694 3.694 5.569 90.00 90.00 90.00
Fractional positions:
Cr 0.000 0.000 0.000
Te 0.000 0.000 0.500
Rh 0.500 0.500 0.500
N 0.000 0.500 0.000
N 0.500 0.000 0.000

Output
The relative energy among the computed polymorphs comes out at 0.0 kJ/mol of atoms. The value obtained for the spin magnetization is 0.068 μB per cell. The value obtained for the energy relative to the elements, uncorrected is 0.6832 eV per atom. The total energy is -6.67 eV/atom. The calculation puts the density of states at the Fermi level at 4.19 states/eV/f.u.

| no. | ρ (Mg/m³) |
| --- | --- |
| 1 | 10.34 |
| 2 | 5.44 |
| 3 | 9.75 |
| 4 | 4.81 |
| 5 | 4.72 |
| 6 | 5.96 |
| 7 | 5.85 |
| 8 | 11.20 |
| 9 | 7.55 |
| 10 | 2.61 |
| 11 | 3.93 |
| 12 | 6.79 |